[1]
DySb3Te6: relaxed, PBE.

Cell: 12.976 4.278 13.095 Å, 90.00 108.69 90.00°
Positions (direct):
Dy  0.192  0.250  0.039
Dy  0.808  0.750  0.961
Sb  0.040  0.750  0.298
Sb  0.341  0.250  0.439
Sb  0.397  0.750  0.853
Sb  0.603  0.250  0.147
Sb  0.659  0.750  0.561
Sb  0.960  0.250  0.702
Te  0.029  0.750  0.898
Te  0.123  0.250  0.466
Te  0.235  0.250  0.804
Te  0.236  0.750  0.236
Te  0.389  0.750  0.071
Te  0.421  0.750  0.600
Te  0.579  0.250  0.400
Te  0.611  0.250  0.929
Te  0.764  0.250  0.764
Te  0.765  0.750  0.196
Te  0.877  0.750  0.534
Te  0.971  0.250  0.102

Properties
**Uncorrected formation energy**: -0.4179 eV/atom
**Total energy**: -4.000 eV/atom

---

[2]
K2TcCl6: relaxed, PBE.

Cell: 7.106 7.106 7.106 Å, 60.00 60.00 60.00°
Positions (direct):
K  0.250  0.250  0.250
K  0.750  0.750  0.750
Tc  0.000  0.000  0.000
Cl  0.236  0.236  0.764
Cl  0.236  0.764  0.236
Cl  0.236  0.764  0.764
Cl  0.764  0.236  0.236
Cl  0.764  0.236  0.764
Cl  0.764  0.764  0.236

Properties
**Uncorrected formation energy**: -1.3297 eV/atom
**Total energy**: -3.956 eV/atom